[1]
Here is crystalline ZrHgSe2 at its relaxed geometry from Alexandria. Energies are from PBEsol.

```
data_ZrHgSe2
_symmetry_space_group_name_H-M 'P 1'
_symmetry_Int_Tables_number 1
_symmetry_space_group_name_Hall 'P 1'
_cell_length_a 3.687
_cell_length_b 3.687
_cell_length_c 8.763
_cell_angle_alpha 77.91
_cell_angle_beta 77.91
_cell_angle_gamma 59.99
loop_
_atom_site_label
_atom_site_fract_x
_atom_site_fract_y
_atom_site_fract_z
_atom_site_occupancy
Hg1 0.000 0.000 0.500 1
Se1 0.770 0.770 0.191 1
Se2 0.230 0.230 0.809 1
Zr1 0.500 0.500 0.000 1
```

Results
crystal system = monoclinic
formation energy (no corrections) = -0.96 eV/atom
symmetry = C2/m
calculated density = 7.463 g/cm3


[2]
Here is crystalline BaZnCO3F2 at its relaxed geometry from Alexandria. Energies are from PBEsol.

```
data_BaZnCO3F2
_symmetry_space_group_name_H-M 'P 1'
_symmetry_Int_Tables_number 1
_symmetry_space_group_name_Hall 'P 1'
_cell_length_a 4.846
_cell_length_b 4.846
_cell_length_c 9.771
_cell_angle_alpha 90.00
_cell_angle_beta 90.00
_cell_angle_gamma 120.00
loop_
_atom_site_label
_atom_site_fract_x
_atom_site_fract_y
_atom_site_fract_z
_atom_site_occupancy
F1 0.667 0.333 0.544 1
F2 0.333 0.667 0.456 1
F3 0.667 0.333 0.956 1
F4 0.333 0.667 0.044 1
Ba1 0.000 0.000 0.000 1
Ba2 0.000 0.000 0.500 1
Zn1 0.333 0.667 0.250 1
Zn2 0.667 0.333 0.750 1
C1 0.667 0.333 0.250 1
C2 0.333 0.667 0.750 1
O1 0.625 0.898 0.750 1
O2 0.274 0.375 0.750 1
O3 0.375 0.102 0.250 1
O4 0.898 0.274 0.250 1
O5 0.102 0.726 0.750 1
O6 0.726 0.625 0.250 1
```

Results
crystal system = hexagonal
formation energy (no corrections) = -2.36 eV/atom
symmetry = P6_3/m
calculated density = 5.027 g/cm3


[3]
Here is crystalline BaPCl at its relaxed geometry from Alexandria. Energies are from PBEsol.

```
data_BaPCl
_symmetry_space_group_name_H-M 'P 1'
_symmetry_Int_Tables_number 1
_symmetry_space_group_name_Hall 'P 1'
_cell_length_a 4.191
_cell_length_b 4.191
_cell_length_c 5.727
_cell_angle_alpha 111.46
_cell_angle_beta 111.46
_cell_angle_gamma 90.00
loop_
_atom_site_label
_atom_site_fract_x
_atom_site_fract_y
_atom_site_fract_z
_atom_site_occupancy
Cl1 0.356 0.356 0.712 1
P1 0.648 0.648 0.296 1
Ba1 0.996 0.996 0.992 1
```

Results
crystal system = tetragonal
formation energy (no corrections) = -0.73 eV/atom
symmetry = I4mm
calculated density = 3.930 g/cm3